Record 1
SrTaRh2 meta-GGA SCAN PBEsol geometry; energy of formation = -15.2 kJ/mol of atoms; space group = No. 12; offset from the most stable computed form = 0.2703 eV/atom
1.0
3.669 -1.563 0.000
3.669 1.563 0.000
-0.928 0.000 7.108
Sr Ta Rh
1 1 2
Direct
0.000 0.000 0.000
0.500 0.500 0.500
0.238 0.238 0.688
0.762 0.762 0.312

Record 2
SrTa2Rh meta-GGA SCAN PBEsol geometry; energy of formation = 27.6 kJ/mol of atoms; space group = No. 12; offset from the most stable computed form = 0.0000 eV/atom
1.0
5.828 -1.474 0.000
5.828 1.474 0.000
-1.772 0.000 4.727
Sr Ta Rh
1 2 1
Direct
0.000 0.000 0.000
0.207 0.207 0.691
0.793 0.793 0.309
0.500 0.500 0.500

Record 3
SrTeRh2 meta-GGA SCAN PBEsol geometry; space group = No. 225; offset from the most stable computed form = 0.1536 eV/atom; E_form (uncorrected) = -0.187 eV per atom
1.0
0.000 3.355 3.355
3.355 0.000 3.355
3.355 3.355 0.000
Sr Te Rh
1 1 2
Direct
0.000 0.000 0.000
0.500 0.500 0.500
0.250 0.250 0.250
0.750 0.750 0.750

Record 4
SrTe2Rh2 meta-GGA SCAN PBEsol geometry; space group = No. 139; E_form (uncorrected) = -0.723 eV per atom
1.0
-2.126 2.126 6.297
2.126 -2.126 6.297
2.126 2.126 -6.297
Sr Te Rh
1 2 2
Direct
0.000 0.000 0.000
0.369 0.369 0.000
0.631 0.631 0.000
0.250 0.750 0.500
0.750 0.250 0.500

Record 5
Sr4TeRh meta-GGA SCAN PBEsol geometry; space group = No. 216; E_form (uncorrected) = 0.462 eV per atom
1.0
0.000 4.598 4.598
4.598 0.000 4.598
4.598 4.598 0.000
Sr Te Rh
4 1 1
Direct
0.124 0.124 0.124
0.124 0.124 0.627
0.124 0.627 0.124
0.627 0.124 0.124
0.500 0.500 0.500
0.750 0.750 0.750

Record 6
SrTeRh3 meta-GGA SCAN PBEsol geometry; space group = No. 221; E_form (uncorrected) = 0.052 eV per atom
1.0
4.841 0.000 0.000
0.000 4.841 0.000
0.000 0.000 4.841
Sr Te Rh
1 1 3
Direct
0.000 0.000 0.000
0.500 0.500 0.500
0.000 0.500 0.500
0.500 0.000 0.500
0.500 0.500 0.000

Record 7
SrTeRh meta-GGA SCAN PBEsol geometry; space group = No. 187; E_form (uncorrected) = -1.017 eV per atom
1.0
4.439 0.000 0.000
-2.219 3.844 0.000
0.000 0.000 4.446
Sr Te Rh
1 1 1
Direct
0.000 0.000 0.000
0.333 0.667 0.500
0.667 0.333 0.500

Record 8
SrTeRh2 meta-GGA SCAN PBEsol geometry; space group = No. 47; offset from the most stable computed form = 0.0000 eV/atom; E_form (uncorrected) = -0.341 eV per atom
1.0
4.045 0.000 0.000
0.000 4.531 0.000
0.000 0.000 5.490
Sr Te Rh
1 1 2
Direct
0.000 0.000 0.000
0.000 0.500 0.500
0.500 0.500 0.228
0.500 0.500 0.772

Record 9
Sr3TeRh meta-GGA SCAN PBEsol geometry; space group = No. 221; E_form (uncorrected) = 0.090 eV per atom
1.0
5.986 0.000 0.000
0.000 5.986 0.000
0.000 0.000 5.986
Sr Te Rh
3 1 1
Direct
0.000 0.000 0.500
0.000 0.500 0.000
0.500 0.000 0.000
0.000 0.000 0.000
0.500 0.500 0.500

Record 10
SrTl2Rh meta-GGA SCAN PBEsol geometry; energy of formation = -13.3 kJ/mol of atoms; space group = No. 139
1.0
-2.379 2.379 3.994
2.379 -2.379 3.994
2.379 2.379 -3.994
Sr Tl Rh
1 2 1
Direct
0.000 0.000 0.000
0.250 0.750 0.500
0.750 0.250 0.500
0.500 0.500 0.000

Record 11
SrTl2Rh meta-GGA SCAN PBEsol geometry; energy of formation = -28.3 kJ/mol of atoms; space group = No. 160
1.0
2.336 1.349 5.454
-2.336 1.349 5.454
0.000 -2.697 5.454
Sr Tl Rh
1 2 1
Direct
0.000 0.000 0.000
0.213 0.213 0.213
0.448 0.448 0.448
0.814 0.814 0.814

Record 12
SrRh2W meta-GGA SCAN PBEsol geometry; energy of formation = 47.4 kJ/mol of atoms; space group = No. 71; offset from the most stable computed form = 0.2988 eV/atom
1.0
-2.079 2.498 3.501
2.079 -2.498 3.501
2.079 2.498 -3.501
Sr Rh W
1 2 1
Direct
0.000 0.000 0.000
0.285 0.785 0.500
0.715 0.215 0.500
0.500 0.500 0.000

Which total DFT energy (no corrections) belongs to each record? In order, -39.257 -47.017 -31.954 -33.587 -26.226 -32.116 -32.117 -32.108 -27.480 -50.329 -50.484 -39.385 eV per atom.